K2BaSb2Pt | PBE | optimized geometry Values from VASP.

Structure (Quantum ESPRESSO input):
```
&SYSTEM
  ibrav = 0, nat = 6, ntyp = 4
/
ATOMIC_SPECIES
Pt 195.08 Pt.upf
Sb 121.76 Sb.upf
K 39.10 K.upf
Ba 137.33 Ba.upf
CELL_PARAMETERS angstrom
6.707 0.000 0.000
0.000 6.707 0.000
-3.354 -3.354 5.936
ATOMIC_POSITIONS crystal
Pt 0.000 0.000 0.000
Sb 0.211 0.211 0.421
K 0.250 0.750 0.500
K 0.750 0.250 0.500
Sb 0.789 0.789 0.579
Ba 0.500 0.500 0.000
```

Computed properties:
Its space-group type is I4/mmm (139). As for the formation energy from raw total energies: -0.21 eV per atom. The crystal system is tetragonal.